! PuCo4As2 PBE relaxed; values from VASP
&SYSTEM
  ibrav = 0, nat = 14, ntyp = 3
/
ATOMIC_SPECIES
Pu 244.00 Pu.upf
Co 58.93 Co.upf
As 74.92 As.upf
CELL_PARAMETERS angstrom
7.2609 0.0000 0.0000
0.0000 7.2609 0.0000
0.0000 0.0000 3.7081
ATOMIC_POSITIONS crystal
Pu 0.0000 0.0000 0.0000
Pu 0.5000 0.5000 0.5000
Co 0.0829 0.3522 0.5000
Co 0.1478 0.5829 0.0000
Co 0.3522 0.0829 0.5000
Co 0.4171 0.8522 0.0000
Co 0.5829 0.1478 0.0000
Co 0.6478 0.9171 0.5000
Co 0.8522 0.4171 0.0000
Co 0.9171 0.6478 0.5000
As 0.2205 0.7795 0.5000
As 0.2795 0.2795 0.0000
As 0.7205 0.7205 0.0000
As 0.7795 0.2205 0.5000
! - SG = P4_2/mnm
! - E_tot (eV per atom) = -7.808
! - E_form (eV per atom) = -0.37


! ZrTl2Tc PBE relaxed; values from VASP
&SYSTEM
  ibrav = 0, nat = 4, ntyp = 3
/
ATOMIC_SPECIES
Zr 91.22 Zr.upf
Tl 204.38 Tl.upf
Tc 98.00 Tc.upf
CELL_PARAMETERS angstrom
-1.7282 2.5040 4.8712
1.7282 -2.5040 4.8712
1.7282 2.5040 -4.8712
ATOMIC_POSITIONS crystal
Zr 0.0000 0.0000 0.0000
Tl 0.2650 0.7650 0.5000
Tl 0.7350 0.2350 0.5000
Tc 0.5000 0.5000 0.0000
! - SG = Immm
! - E_tot (eV per atom) = -5.589
! - E_form (eV per atom) = 0.32


! SrPdSe PBE relaxed; values from VASP
&SYSTEM
  ibrav = 0, nat = 6, ntyp = 3
/
ATOMIC_SPECIES
Sr 87.62 Sr.upf
Pd 106.42 Pd.upf
Se 78.96 Se.upf
CELL_PARAMETERS angstrom
-4.2137 4.3249 2.3245
4.2137 -4.3249 2.3245
4.2137 4.3249 -2.3245
ATOMIC_POSITIONS crystal
Sr 0.5000 0.0000 0.0000
Sr 0.5000 0.5000 0.5000
Pd 0.0160 0.2660 0.7500
Pd 0.9840 0.7340 0.2500
Se 0.0000 0.0000 0.0000
Se 0.5000 0.0000 0.5000
! - formation energy without anion corrections (eV/atom) = -0.90
! - SG = Imma
! - E_tot (eV per atom) = -4.350


! Ca2HfV PBE relaxed; values from VASP
&SYSTEM
  ibrav = 0, nat = 8, ntyp = 3
/
ATOMIC_SPECIES
Ca 40.08 Ca.upf
Hf 178.49 Hf.upf
V 50.94 V.upf
CELL_PARAMETERS angstrom
-4.2633 4.2633 2.9988
4.2633 -4.2633 2.9988
4.2633 4.2633 -2.9988
ATOMIC_POSITIONS crystal
Ca 0.0946 0.6250 0.9696
Ca 0.3750 0.3446 0.4696
Ca 0.6554 0.1250 0.0304
Ca 0.8750 0.9054 0.5304
Hf 0.2500 0.7500 0.5000
Hf 0.5000 0.5000 0.0000
V 0.0000 0.0000 0.0000
V 0.7500 0.2500 0.5000
! - SG = I-42d
! - E_tot (eV per atom) = -4.737
! - E_form (eV per atom) = 1.03


! KSbPt2Cl PBE relaxed; values from VASP
&SYSTEM
  ibrav = 0, nat = 5, ntyp = 4
/
ATOMIC_SPECIES
K 39.10 K.upf
Sb 121.76 Sb.upf
Pt 195.08 Pt.upf
Cl 35.45 Cl.upf
CELL_PARAMETERS angstrom
4.7719 0.0000 0.0000
0.0000 4.7719 0.0000
0.0000 0.0000 5.2354
ATOMIC_POSITIONS crystal
K 0.0000 0.0000 0.0000
Sb 0.5000 0.5000 0.0000
Pt 0.0000 0.5000 0.5000
Pt 0.5000 0.0000 0.5000
Cl 0.0000 0.0000 0.5000
! - formation energy without anion corrections (eV/atom) = 0.46
! - SG = P4/mmm
! - E_tot (eV per atom) = -3.373


! SmErCd4 PBE relaxed; values from VASP
&SYSTEM
  ibrav = 0, nat = 6, ntyp = 3
/
ATOMIC_SPECIES
Sm 150.36 Sm.upf
Er 167.26 Er.upf
Cd 112.41 Cd.upf
CELL_PARAMETERS angstrom
0.0000 4.1892 4.1892
4.1892 0.0000 4.1892
4.1892 4.1892 0.0000
ATOMIC_POSITIONS crystal
Sm 0.0000 0.0000 0.0000
Er 0.7500 0.7500 0.7500
Cd 0.3750 0.3750 0.3750
Cd 0.3750 0.3750 0.8750
Cd 0.3750 0.8750 0.3750
Cd 0.8750 0.3750 0.3750
! - SG = F-43m
! - E_tot (eV per atom) = -2.413
! - E_form (eV per atom) = -0.26


! Ir2WN PBE relaxed; values from VASP
&SYSTEM
  ibrav = 0, nat = 8, ntyp = 3
/
ATOMIC_SPECIES
Ir 192.22 Ir.upf
W 183.84 W.upf
N 14.01 N.upf
CELL_PARAMETERS angstrom
-2.5056 2.5056 5.2748
2.5056 -2.5056 5.2748
2.5056 2.5056 -5.2748
ATOMIC_POSITIONS crystal
Ir 0.0427 0.6250 0.9177
Ir 0.3750 0.2927 0.4177
Ir 0.7073 0.1250 0.0823
Ir 0.8750 0.9573 0.5823
W 0.2500 0.7500 0.5000
W 0.5000 0.5000 0.0000
N 0.0000 0.0000 0.0000
N 0.7500 0.2500 0.5000
! - formation energy without anion corrections (eV/atom) = 0.63
! - SG = I-42d
! - E_tot (eV per atom) = -9.116


! CsNaMg2I6 PBE relaxed; values from VASP
&SYSTEM
  ibrav = 0, nat = 20, ntyp = 4
/
ATOMIC_SPECIES
Cs 132.91 Cs.upf
Na 22.99 Na.upf
Mg 24.30 Mg.upf
I 126.90 I.upf
CELL_PARAMETERS angstrom
7.7867 -8.1122 0.0000
7.7867 8.1122 0.0000
-1.0775 0.0000 7.8118
ATOMIC_POSITIONS crystal
Cs 0.1024 0.8976 0.7500
Cs 0.8976 0.1024 0.2500
Na 0.2957 0.7043 0.2500
Na 0.7043 0.2957 0.7500
Mg 0.2219 0.3799 0.7357
Mg 0.3799 0.2219 0.2357
Mg 0.6201 0.7781 0.7643
Mg 0.7781 0.6201 0.2643
I 0.0233 0.2299 0.7064
I 0.1752 0.5924 0.9011
I 0.2299 0.0233 0.2064
I 0.2812 0.4202 0.4043
I 0.4076 0.8248 0.5989
I 0.4202 0.2812 0.9043
I 0.5798 0.7188 0.0957
I 0.5924 0.1752 0.4011
I 0.7188 0.5798 0.5957
I 0.7701 0.9767 0.7936
I 0.8248 0.4076 0.0989
I 0.9767 0.7701 0.2936
! - formation energy without anion corrections (eV/atom) = -1.15
! - SG = C2/c
! - E_tot (eV per atom) = -2.614


! K2AlRh PBE relaxed; values from VASP
&SYSTEM
  ibrav = 0, nat = 4, ntyp = 3
/
ATOMIC_SPECIES
K 39.10 K.upf
Al 26.98 Al.upf
Rh 102.91 Rh.upf
CELL_PARAMETERS angstrom
4.1235 0.0000 0.0000
0.0000 4.1235 0.0000
0.0000 0.0000 5.5529
ATOMIC_POSITIONS crystal
K 0.0000 0.5000 0.0000
K 0.5000 0.0000 0.0000
Al 0.0000 0.0000 0.5000
Rh 0.5000 0.5000 0.5000
! - SG = P4/mmm
! - E_tot (eV per atom) = -2.789
! - E_form (eV per atom) = 0.53


! ZnP2CS PBE relaxed; values from VASP
&SYSTEM
  ibrav = 0, nat = 5, ntyp = 4
/
ATOMIC_SPECIES
Zn 65.41 Zn.upf
P 30.97 P.upf
C 12.01 C.upf
S 32.06 S.upf
CELL_PARAMETERS angstrom
3.9722 0.0000 0.0000
0.0000 3.9722 0.0000
0.0000 0.0000 4.4954
ATOMIC_POSITIONS crystal
Zn 0.0000 0.0000 0.0000
P 0.0000 0.5000 0.5000
P 0.5000 0.0000 0.5000
C 0.5000 0.5000 0.5000
S 0.5000 0.5000 0.0000
! - formation energy without anion corrections (eV/atom) = 1.14
! - SG = P4/mmm
! - E_tot (eV per atom) = -3.953


! Be2TlRu PBE relaxed; values from VASP
&SYSTEM
  ibrav = 0, nat = 4, ntyp = 3
/
ATOMIC_SPECIES
Be 9.01 Be.upf
Tl 204.38 Tl.upf
Ru 101.07 Ru.upf
CELL_PARAMETERS angstrom
-1.6400 1.8569 4.6118
1.6400 -1.8569 4.6118
1.6400 1.8569 -4.6118
ATOMIC_POSITIONS crystal
Be 0.0000 0.0000 0.0000
Be 0.6722 0.1722 0.5000
Tl 0.4162 0.4162 0.0000
Ru 0.1649 0.6649 0.5000
! - SG = Imm2
! - E_tot (eV per atom) = -4.508
! - E_form (eV per atom) = 0.27


! Dy2Er2Te5 PBE relaxed; values from VASP
&SYSTEM
  ibrav = 0, nat = 9, ntyp = 3
/
ATOMIC_SPECIES
Dy 162.50 Dy.upf
Er 167.26 Er.upf
Te 127.60 Te.upf
CELL_PARAMETERS angstrom
3.0182 -9.1967 0.0000
3.0182 9.1967 0.0000
0.0000 0.0000 6.1016
ATOMIC_POSITIONS crystal
Dy 0.1567 0.8433 0.0000
Dy 0.8433 0.1567 0.0000
Er 0.3153 0.6847 0.5000
Er 0.6847 0.3153 0.5000
Te 0.0000 0.0000 0.0000
Te 0.1522 0.8478 0.5000
Te 0.3319 0.6681 0.0000
Te 0.6681 0.3319 0.0000
Te 0.8478 0.1522 0.5000
! - formation energy without anion corrections (eV/atom) = -1.17
! - SG = Cmmm
! - E_tot (eV per atom) = -4.950